IrCl4 | PBE | optimized geometry

The structure in CIF format:
```
data_IrCl4
_chemical_formula_sum 'Ir2 Cl8'
_cell_length_a 7.9574
_cell_length_b 8.4529
_cell_length_c 3.5294
_cell_angle_alpha 90.00
_cell_angle_beta 90.00
_cell_angle_gamma 90.00
_space_group_name_H-M_alt 'C m m m'
_space_group_IT_number 65
_space_group_name_Hall '-C 2 2'
loop_
_atom_site_label
_atom_site_type_symbol
_atom_site_fract_x
_atom_site_fract_y
_atom_site_fract_z
Ir1 Ir 0.0000 0.0000 0.0000
Cl1 Cl 0.0000 0.1858 0.5000
Cl2 Cl 0.2114 0.5000 0.0000
```

Calculated values
Raw total energy in eV/cell: -36.17
Total magnetic moment in μB per atom: 0.18